# 1
## CaTaCd2 (PBE)

Data for a relaxed CaTaCd2 crystal.

Computed properties:
calculated formation energy: 0.37 eV/atom
size of the total moment: 0.00 μB per atom
space group: C2/m, No. 12
uncorrected energy: -3.551 eV/atom

a = 5.2164 Å, b = 5.2164 Å, c = 6.2481 Å
α = 83.78°, β = 83.78°, γ = 33.68°
Last column: nearest neighbours and their distance in Å.
Positions (direct):
Ca  0.2500  0.2500  0.2500  2 Ca 3.02, 6 Cd 3.18-3.31
Cd  0.0054  0.0054  0.9649  3 Ta 3.01-3.05, 4 Cd 3.02-3.09, 3 Ca 3.18-3.31
Cd  0.4946  0.4946  0.5351  3 Ta 3.01-3.05, 4 Cd 3.02-3.09, 3 Ca 3.18-3.31
Ta  0.7500  0.7500  0.7500  6 Cd 3.01-3.05, 2 Ta 3.02


# 2
## CaTaCd (PBE)

Data for a relaxed CaTaCd crystal.

Computed properties:
E above lowest polymorph: 0.648 eV/atom
calculated formation energy: 1.06 eV/atom
size of the total moment: 0.43 μB per atom
space group: F-43m, No. 216
uncorrected energy: -3.867 eV/atom

a = 4.8733 Å, b = 4.8733 Å, c = 4.8733 Å
α = 60.00°, β = 60.00°, γ = 60.00°
Last column: nearest neighbours and their distance in Å.
Positions (direct):
Ca  0.5000  0.5000  0.5000  4 Cd 2.98
Cd  0.7500  0.7500  0.7500  4 Ta 2.98, 4 Ca 2.98
Ta  0.0000  0.0000  0.0000  4 Cd 2.98